<P>
{"formula": "BaBeF3", "functional": "PBE", "state": "optimized geometry", "lattice_angstrom": [[-0.454, -3.861, -3.255], [4.880, 0.506, -1.280], [1.299, -3.248, 3.671]], "species": ["Ba", "F", "F", "F", "Be"], "fractional_positions": [[0.000, 0.000, 0.000], [0.000, 0.500, 0.000], [0.000, 0.000, 0.500], [0.500, 0.000, 0.000], [0.500, 0.500, 0.500]], "magmom_total_mub_per_fu": 1.0}

***

<Q>
{"formula": "BaBeF3", "functional": "PBE", "state": "optimized geometry", "lattice_angstrom": [[4.149, 0.000, 0.000], [0.000, 4.149, 0.000], [0.000, 0.000, 4.149]], "species": ["Ba", "F", "F", "F", "Be"], "fractional_positions": [[0.500, 0.500, 0.500], [0.500, 0.000, 0.000], [0.000, 0.000, 0.500], [0.000, 0.500, 0.000], [0.000, 0.000, 0.000]], "magmom_total_mub_per_fu": 0.0}

***

What are the relative energies? In meV/atom: <P> 674; <Q> 0.

***

<P>
{"formula": "Ba2MgBeF", "functional": "PBE", "state": "optimized geometry", "lattice_angstrom": [[-5.544, 1.822, 3.296], [-2.125, -0.468, -3.316], [-1.135, -6.401, 1.630]], "species": ["Ba", "Be", "Ba", "Mg", "F"], "fractional_positions": [[0.000, 0.000, 0.500], [0.500, 0.500, 0.500], [0.500, 0.000, 0.000], [0.000, 0.000, 0.000], [0.000, 0.500, 0.000]], "magmom_total_mub_per_fu": 1.1}

***

<Q>
{"formula": "Ba2MgBeF", "functional": "PBE", "state": "optimized geometry", "lattice_angstrom": [[-5.376, -0.046, 3.147], [-2.348, -0.760, -4.023], [0.545, -6.148, 0.843]], "species": ["F", "Mg", "Ba", "Be", "Ba"], "fractional_positions": [[0.500, 0.500, 0.500], [0.000, 0.500, 0.000], [0.000, 0.000, 0.500], [0.000, 0.000, 0.000], [0.500, 0.000, 0.000]], "magmom_total_mub_per_fu": 0.0}

***

What are the relative energies? In meV/atom: <P> 201; <Q> 0.

***

<P>
{"formula": "BaBeNF2", "functional": "PBE", "state": "optimized geometry", "lattice_angstrom": [[4.264, 0.000, 0.000], [0.000, 4.264, 0.000], [0.000, 0.000, 3.509]], "species": ["Ba", "F", "Be", "F", "N"], "fractional_positions": [[0.500, 0.500, 0.500], [0.000, 0.500, 0.000], [0.000, 0.000, 0.000], [0.500, 0.000, 0.000], [0.000, 0.000, 0.500]], "magmom_total_mub_per_fu": 1.0}

***

<Q>
{"formula": "BaBeNF2", "functional": "PBE", "state": "optimized geometry", "lattice_angstrom": [[5.013, 0.000, 0.000], [0.000, 5.013, 0.000], [0.000, 0.000, 5.767]], "species": ["Be", "Ba", "F", "N", "F"], "fractional_positions": [[0.500, 0.500, 0.500], [0.000, 0.000, 0.000], [0.500, 0.000, 0.000], [0.000, 0.000, 0.500], [0.000, 0.500, 0.000]], "magmom_total_mub_per_fu": 2.5}

***

What are the relative energies? In meV/atom: <P> 0; <Q> 1537.

***

<P>
{"formula": "BaBeN2F", "functional": "PBE", "state": "optimized geometry", "lattice_angstrom": [[3.580, 0.000, 0.000], [0.000, 3.580, 0.000], [0.000, 0.000, 5.096]], "species": ["N", "Ba", "N", "Be", "F"], "fractional_positions": [[0.500, 0.000, 0.000], [0.500, 0.500, 0.500], [0.000, 0.500, 0.000], [0.000, 0.000, 0.000], [0.000, 0.000, 0.500]], "magmom_total_mub_per_fu": 0.0}

***

<Q>
{"formula": "BaBeN2F", "functional": "PBE", "state": "optimized geometry", "lattice_angstrom": [[-2.045, 3.600, -2.379], [-1.244, -3.013, -3.490], [-4.194, -0.888, 2.261]], "species": ["Ba", "Be", "N", "N", "F"], "fractional_positions": [[0.000, 0.000, 0.000], [0.500, 0.500, 0.500], [0.000, 0.500, 0.000], [0.500, 0.000, 0.000], [0.000, 0.000, 0.500]], "magmom_total_mub_per_fu": 1.2}

***

What are the relative energies? In meV/atom: <P> 0; <Q> 2004.